CuC | PBE | relaxed

Properties
Magnetic moment (μB per formula unit): 0.000
E_form (kcal/mol of atoms): 18.52
Offset from the most stable computed form (meV per atom): 583

Lattice parameters (Å, degrees): 3.647 3.647 11.553 90.00 90.00 120.00
Element x y z (fractional)
Cu (0.000, 0.000, 0.228)
Cu (0.000, 0.000, 0.772)
Cu (0.333, 0.667, 0.439)
Cu (0.333, 0.667, 0.894)
Cu (0.667, 0.333, 0.106)
Cu (0.667, 0.333, 0.561)
C (0.000, 0.000, 0.056)
C (0.000, 0.000, 0.944)
C (0.333, 0.667, 0.611)
C (0.333, 0.667, 0.723)
C (0.667, 0.333, 0.277)
C (0.667, 0.333, 0.389)